Entry 1:
La2GdP3 | GGA-PBE | optimized geometry Values from VASP.

The structure in Quantum ESPRESSO input format:
```
&SYSTEM
  ibrav = 0, nat = 6, ntyp = 3
/
ATOMIC_SPECIES
La 138.91 La.upf
Gd 157.25 Gd.upf
P 30.97 P.upf
CELL_PARAMETERS angstrom
4.1995 0.0000 0.0000
-2.0998 3.6369 0.0000
0.0000 0.0000 10.2799
ATOMIC_POSITIONS crystal
La 0.3333 0.6667 0.3276
La 0.6667 0.3333 0.6724
Gd 0.0000 0.0000 0.0000
P 0.0000 0.0000 0.5000
P 0.3333 0.6667 0.8434
P 0.6667 0.3333 0.1566
```

Results
Space-group type: P-3m1, No. 164



Entry 2:
Pu4PdPt2 | GGA-PBE | optimized geometry Values from VASP.

The structure in Quantum ESPRESSO input format:
```
&SYSTEM
  ibrav = 0, nat = 14, ntyp = 3
/
ATOMIC_SPECIES
Pu 244.00 Pu.upf
Pd 106.42 Pd.upf
Pt 195.08 Pt.upf
CELL_PARAMETERS angstrom
-4.3537 4.3537 4.3494
4.3537 -4.3537 4.3494
4.3537 4.3537 -4.3494
ATOMIC_POSITIONS crystal
Pu 0.1222 0.0173 0.7505
Pu 0.1217 0.5168 0.7495
Pu 0.2668 0.3717 0.2495
Pu 0.4832 0.2327 0.6050
Pu 0.6278 0.8783 0.3950
Pu 0.6283 0.8778 0.8950
Pu 0.7673 0.3722 0.2505
Pu 0.9827 0.7332 0.1050
Pd 0.2500 0.7500 0.5000
Pd 0.5000 0.5000 0.0000
Pt 0.0027 0.1250 0.3777
Pt 0.3750 0.9973 0.1223
Pt 0.7473 0.6250 0.6223
Pt 0.8750 0.2527 0.8777
```

Results
Space-group type: I-42d, No. 122



Entry 3:
AcAl6Pd | GGA-PBE | optimized geometry Values from VASP.

The structure in Quantum ESPRESSO input format:
```
&SYSTEM
  ibrav = 0, nat = 8, ntyp = 3
/
ATOMIC_SPECIES
Ac 227.00 Ac.upf
Al 26.98 Al.upf
Pd 106.42 Pd.upf
CELL_PARAMETERS angstrom
4.4013 0.0000 0.0000
0.0000 4.4013 0.0000
0.0000 0.0000 8.3638
ATOMIC_POSITIONS crystal
Ac 0.0000 0.0000 0.0000
Al 0.0000 0.5000 0.3357
Al 0.0000 0.5000 0.6643
Al 0.5000 0.0000 0.3357
Al 0.5000 0.0000 0.6643
Al 0.5000 0.5000 0.1528
Al 0.5000 0.5000 0.8472
Pd 0.0000 0.0000 0.5000
```

Results
Space-group type: P4/mmm, No. 123



Entry 4:
PrHoZn4 | GGA-PBE | optimized geometry Values from VASP.

The structure in Quantum ESPRESSO input format:
```
&SYSTEM
  ibrav = 0, nat = 6, ntyp = 3
/
ATOMIC_SPECIES
Pr 140.91 Pr.upf
Ho 164.93 Ho.upf
Zn 65.41 Zn.upf
CELL_PARAMETERS angstrom
-2.2565 3.6036 3.7906
2.2565 -3.6036 3.7906
2.2565 3.6036 -3.7906
ATOMIC_POSITIONS crystal
Pr 0.0000 0.0000 0.0000
Ho 0.5610 0.0610 0.5000
Zn 0.1699 0.3718 0.7981
Zn 0.4094 0.7032 0.7062
Zn 0.5737 0.3718 0.2019
Zn 0.9970 0.7032 0.2938
```

Results
Space-group type: Imm2, No. 44



Entry 5:
YHoHg2 | GGA-PBE | optimized geometry Values from VASP.

The structure in Quantum ESPRESSO input format:
```
&SYSTEM
  ibrav = 0, nat = 8, ntyp = 3
/
ATOMIC_SPECIES
Y 88.91 Y.upf
Ho 164.93 Ho.upf
Hg 200.59 Hg.upf
CELL_PARAMETERS angstrom
5.1533 0.0000 0.0000
0.0000 3.4126 5.8058
0.0000 -3.4126 5.8058
ATOMIC_POSITIONS crystal
Y 0.0000 0.2339 0.7661
Y 0.0000 0.7661 0.2339
Ho 0.0000 0.2587 0.2587
Ho 0.5000 0.6067 0.6067
Hg 0.0000 0.7481 0.7481
Hg 0.5000 0.0925 0.5992
Hg 0.5000 0.0945 0.0945
Hg 0.5000 0.5992 0.0925
```

Results
Space-group type: Amm2, No. 38



Entry 6:
SrTlPd | GGA-PBE | optimized geometry Values from VASP.

The structure in Quantum ESPRESSO input format:
```
&SYSTEM
  ibrav = 0, nat = 3, ntyp = 3
/
ATOMIC_SPECIES
Sr 87.62 Sr.upf
Tl 204.38 Tl.upf
Pd 106.42 Pd.upf
CELL_PARAMETERS angstrom
0.0000 3.6444 3.6444
3.6444 0.0000 3.6444
3.6444 3.6444 0.0000
ATOMIC_POSITIONS crystal
Sr 0.0000 0.0000 0.0000
Tl 0.2500 0.2500 0.2500
Pd 0.7500 0.7500 0.7500
```

Results
Space-group type: F-43m, No. 216



Entry 7:
YCuBOs | GGA-PBE | optimized geometry Values from VASP.

The structure in Quantum ESPRESSO input format:
```
&SYSTEM
  ibrav = 0, nat = 4, ntyp = 4
/
ATOMIC_SPECIES
Y 88.91 Y.upf
Cu 63.55 Cu.upf
B 10.81 B.upf
Os 190.23 Os.upf
CELL_PARAMETERS angstrom
0.0000 3.1004 3.1004
3.1004 0.0000 3.1004
3.1004 3.1004 0.0000
ATOMIC_POSITIONS crystal
Y 0.0000 0.0000 0.0000
Cu 0.7500 0.7500 0.7500
B 0.5000 0.5000 0.5000
Os 0.2500 0.2500 0.2500
```

Results
Space-group type: F-43m, No. 216
Distance to the lowest polymorph of the same formula: 0.0 kJ per mole of atoms



Entry 8:
YHo2NiPt2Pb3 | GGA-PBE | optimized geometry Values from VASP.

The structure in Quantum ESPRESSO input format:
```
&SYSTEM
  ibrav = 0, nat = 9, ntyp = 5
/
ATOMIC_SPECIES
Y 88.91 Y.upf
Ho 164.93 Ho.upf
Ni 58.69 Ni.upf
Pt 195.08 Pt.upf
Pb 207.20 Pb.upf
CELL_PARAMETERS angstrom
3.7769 0.0000 0.0000
0.0000 6.7819 3.9044
0.0000 -6.7819 3.9044
ATOMIC_POSITIONS crystal
Y 0.0000 0.0000 0.0000
Ho 0.0000 0.4032 0.8069
Ho 0.0000 0.8069 0.4032
Ni 0.0000 0.4036 0.4036
Pt 0.5000 0.0701 0.7351
Pt 0.5000 0.7351 0.0701
Pb 0.5000 0.1469 0.4034
Pb 0.5000 0.4034 0.1469
Pb 0.5000 0.6593 0.6593
```

Results
Space-group type: Amm2, No. 38



Entry 9:
TmPuCu | GGA-PBE | optimized geometry Values from VASP.

The structure in Quantum ESPRESSO input format:
```
&SYSTEM
  ibrav = 0, nat = 3, ntyp = 3
/
ATOMIC_SPECIES
Tm 168.93 Tm.upf
Pu 244.00 Pu.upf
Cu 63.55 Cu.upf
CELL_PARAMETERS angstrom
0.0000 3.3043 3.3043
3.3043 0.0000 3.3043
3.3043 3.3043 0.0000
ATOMIC_POSITIONS crystal
Tm 0.0000 0.0000 0.0000
Pu 0.5000 0.5000 0.5000
Cu 0.7500 0.7500 0.7500
```

Results
Space-group type: F-43m, No. 216
Distance to the lowest polymorph of the same formula: 0.0 kJ per mole of atoms



Entry 10:
CuNiMoAu | GGA-PBE | optimized geometry Values from VASP.

The structure in Quantum ESPRESSO input format:
```
&SYSTEM
  ibrav = 0, nat = 4, ntyp = 4
/
ATOMIC_SPECIES
Cu 63.55 Cu.upf
Ni 58.69 Ni.upf
Mo 95.94 Mo.upf
Au 196.97 Au.upf
CELL_PARAMETERS angstrom
0.0000 3.0259 3.0259
3.0259 0.0000 3.0259
3.0259 3.0259 0.0000
ATOMIC_POSITIONS crystal
Cu 0.0000 0.0000 0.0000
Ni 0.5000 0.5000 0.5000
Mo 0.7500 0.7500 0.7500
Au 0.2500 0.2500 0.2500
```

Results
Space-group type: F-43m, No. 216
Distance to the lowest polymorph of the same formula: 0.0 kJ per mole of atoms



Entry 11:
TaAlZn2 | GGA-PBE | optimized geometry Values from VASP.

The structure in Quantum ESPRESSO input format:
```
&SYSTEM
  ibrav = 0, nat = 4, ntyp = 3
/
ATOMIC_SPECIES
Ta 180.95 Ta.upf
Al 26.98 Al.upf
Zn 65.41 Zn.upf
CELL_PARAMETERS angstrom
0.0000 3.1685 3.1685
3.1685 0.0000 3.1685
3.1685 3.1685 0.0000
ATOMIC_POSITIONS crystal
Ta 0.0000 0.0000 0.0000
Al 0.7500 0.7500 0.7500
Zn 0.2500 0.2500 0.2500
Zn 0.5000 0.5000 0.5000
```

Results
Space-group type: F-43m, No. 216



Entry 12:
KTaTe | GGA-PBE | optimized geometry Values from VASP.

The structure in Quantum ESPRESSO input format:
```
&SYSTEM
  ibrav = 0, nat = 3, ntyp = 3
/
ATOMIC_SPECIES
K 39.10 K.upf
Ta 180.95 Ta.upf
Te 127.60 Te.upf
CELL_PARAMETERS angstrom
0.0000 3.5437 3.5437
3.5437 0.0000 3.5437
3.5437 3.5437 0.0000
ATOMIC_POSITIONS crystal
K 0.0000 0.0000 0.0000
Ta 0.5000 0.5000 0.5000
Te 0.2500 0.2500 0.2500
```

Results
Space-group type: F-43m, No. 216
Distance to the lowest polymorph of the same formula: 0.0 kJ per mole of atoms



What did we get for uncorrected energy? Answer: -6.6999; -11.2220; -4.4482; -2.7675; -3.1794; -3.0096; -6.2656; -5.6883; -6.9082; -5.6537; -4.2515; -4.3537 eV/atom, in the order shown.
What did we get for volume? Answer: 157.0; 164.9; 162.0; 123.3; 102.1; 96.8; 59.6; 200.0; 72.2; 55.4; 63.6; 89.0 Å³/f.u., in the order shown.